8
Lattice="7.900 0.000 0.000 0.000 4.404 0.000 -2.540 0.000 7.696" Properties=species:S:1:pos:R:3 comment="PBE BaPaTl2Se4, relaxed" m_tot_mub_per_fu=1.0 formation_energy_uncorrected_ev_per_atom=-1.1726 spacegroup=P2/m total_energy_ev_per_atom=-4.93 crystal_system=monoclinic volume_a3_per_atom=33.472 pbc="T T T"
Ba 0.000 0.000 0.000
Pa 3.950 2.202 0.000
Tl -1.270 2.202 3.848
Tl 2.680 0.000 3.848
Se 1.665 2.202 1.660
Se 0.306 0.000 6.100
Se 5.054 0.000 1.596
Se 3.695 2.202 6.036

=====

12
Lattice="6.544 0.000 0.000 0.000 8.751 0.000 -0.096 0.000 6.828" Properties=species:S:1:pos:R:3 comment="PBE BaU2PaSe8, relaxed" m_tot_mub_per_fu=3.0 formation_energy_uncorrected_ev_per_atom=-1.2106 spacegroup=P2/m total_energy_ev_per_atom=-6.37 crystal_system=monoclinic volume_a3_per_atom=32.583 pbc="T T T"
Ba 0.000 0.000 0.000
U 3.224 2.204 3.414
U 3.224 6.546 3.414
Pa 0.000 4.375 0.000
Se 1.662 2.508 1.116
Se 1.662 6.243 1.116
Se 1.705 0.000 4.171
Se 1.703 4.375 4.531
Se 4.743 0.000 2.657
Se 4.745 4.375 2.297
Se 4.786 2.508 5.712
Se 4.786 6.243 5.712

=====

Please write out number 2 again, unchanged.
12
Lattice="6.544 0.000 0.000 0.000 8.751 0.000 -0.096 0.000 6.828" Properties=species:S:1:pos:R:3 comment="PBE BaU2PaSe8, relaxed" m_tot_mub_per_fu=3.0 formation_energy_uncorrected_ev_per_atom=-1.2106 spacegroup=P2/m total_energy_ev_per_atom=-6.37 crystal_system=monoclinic volume_a3_per_atom=32.583 pbc="T T T"
Ba 0.000 0.000 0.000
U 3.224 2.204 3.414
U 3.224 6.546 3.414
Pa 0.000 4.375 0.000
Se 1.662 2.508 1.116
Se 1.662 6.243 1.116
Se 1.705 0.000 4.171
Se 1.703 4.375 4.531
Se 4.743 0.000 2.657
Se 4.745 4.375 2.297
Se 4.786 2.508 5.712
Se 4.786 6.243 5.712